VASP calculation (meta-GGA SCAN) on a crystal of Y2ReHg relaxed with PBEsol.

The structure belongs to space group I-4m2 (No. 119); the cell edges are 4.3008, 4.3008 and 9.1751 Å and the angles 90.00°, 90.00° and 90.00°. The asymmetric unit holds Y at (0.0000, 0.0000, 0.0000), Y at (0.0000, 0.5000, 0.2500), Re at (0.0000, 0.5000, 0.7500) and Hg at (0.0000, 0.0000, 0.5000).

Its formation enthalpy at 0 K is 0.3 eV per formula unit. For the magnetic moment, the calculation gives 0.0 μB per formula unit. The value obtained for the density of states at the Fermi level is 6.7 states/eV/cell.